NiP2PbCl: relaxed, PBE.

Formation energy from raw total energies, eV/atom: 0.125
DFT total energy, eV per atom: -4.31
Spin magnetization, Bohr magnetons per cell: 0.8
DOS at the Fermi energy, states/eV/atom: 0.633

extended XYZ file:
```
5
Lattice="4.272 0.000 0.000 0.000 4.272 0.000 0.000 0.000 6.092" Properties=species:S:1:pos:R:3 pbc="T T T"
Ni 0.000 0.000 0.000
P 0.000 2.136 0.000
P 2.136 0.000 0.000
Pb 2.136 2.136 3.046
Cl 0.000 0.000 3.046
```

***

PrHoErCd: relaxed, PBE.

Energy of formation from the pure elements, eV per formula unit: -0.6
DFT total energy, eV per atom: -3.85
Spin magnetization, Bohr magnetons per cell: 0.0
DOS at the Fermi energy, states/eV/atom: 1.310

extended XYZ file:
```
4
Lattice="3.647 0.000 0.000 0.000 3.647 0.000 0.000 0.000 8.945" Properties=species:S:1:pos:R:3 pbc="T T T"
Pr 0.000 0.000 0.000
Ho 1.823 1.823 6.412
Er 1.823 1.823 2.524
Cd 0.000 0.000 4.454
```